Here is crystalline ZnOs3N at its relaxed geometry from Alexandria. Energies are from PBE-GGA.

Output
Offset from the most stable computed form   2.8328 eV/atom

Unit cell a=4.504 b=4.504 c=4.504 alpha=90.00 beta=90.00 gamma=90.00
Space group Pm-3m (No. 221)
Symmetry-distinct sites (fractional):
Zn  0.000  0.000  0.000 x1
Os  0.000  0.000  0.500 x3
N  0.500  0.500  0.500 x1


Here is crystalline ZnOsN2 at its relaxed geometry from Alexandria. Energies are from PBE-GGA.

Unit cell a=4.574 b=4.574 c=9.526 alpha=90.00 beta=90.00 gamma=90.00
Space group I-42d (No. 122)
Symmetry-distinct sites (fractional):
Zn  0.000  0.000  0.000 x4
Os  0.000  0.000  0.500 x4
N  0.227  0.250  0.625 x8


Here is crystalline ZnOsN2 at its relaxed geometry from Alexandria. Energies are from PBE-GGA.

Unit cell a=2.9690 b=2.9690 c=18.4877 alpha=90.00 beta=90.00 gamma=120.00
Space group R-3m (No. 166, hexagonal axes)
Symmetry-distinct sites (fractional):
Zn  0.0000  0.0000  0.0000 x3
Os  0.0000  0.0000  0.5000 x3
N  0.0000  0.0000  0.4008 x6


Formation energy (no corrections), respectively: 3.5007 0.4331 0.7967 eV/atom.